This record from the Alexandria database describes an optimized crystal structure of SrHo2Pt. The functional is GGA-PBE. Values from VASP.

E_tot	-4.785	eV/atom
calculated formation energy	-565	meV/atom
V	142.66	Å³/cell
magnetic moment	0.00	μB per formula unit
excess energy over the best structure of this formula in the dataset	0.019	eV/atom

Quantum ESPRESSO input file:
```
&SYSTEM
  ibrav = 0, nat = 4, ntyp = 3
/
ATOMIC_SPECIES
Sr 87.62 Sr.upf
Ho 164.93 Ho.upf
Pt 195.08 Pt.upf
CELL_PARAMETERS angstrom
2.074 1.197 9.574
-2.074 1.197 9.574
0.000 -2.395 9.574
ATOMIC_POSITIONS crystal
Sr 0.000 0.000 0.000
Ho 0.217 0.217 0.217
Ho 0.783 0.783 0.783
Pt 0.500 0.500 0.500
```


This record from the Alexandria database describes an optimized crystal structure of Sm2SF4. The functional is GGA-PBE. Values from VASP.

E_tot	-6.635	eV/atom
V	205.84	Å³/cell
magnetic moment	0.00	μB per formula unit

Quantum ESPRESSO input file:
```
&SYSTEM
  ibrav = 0, nat = 14, ntyp = 3
/
ATOMIC_SPECIES
Sm 150.36 Sm.upf
S 32.06 S.upf
F 19.00 F.upf
CELL_PARAMETERS angstrom
7.316 0.000 0.000
0.000 7.316 0.000
0.000 0.000 3.846
ATOMIC_POSITIONS crystal
Sm 0.219 0.219 0.000
Sm 0.281 0.719 0.500
Sm 0.719 0.281 0.500
Sm 0.781 0.781 0.000
S 0.000 0.000 0.500
S 0.500 0.500 0.000
F 0.088 0.669 0.000
F 0.169 0.412 0.500
F 0.331 0.912 0.000
F 0.412 0.169 0.500
F 0.588 0.831 0.500
F 0.669 0.088 0.000
F 0.831 0.588 0.500
F 0.912 0.331 0.000
```


This record from the Alexandria database describes an optimized crystal structure of Sr2HgIr2. The functional is GGA-PBE. Values from VASP.

E_tot	-4.415	eV/atom
calculated formation energy	-137	meV/atom
V	245.59	Å³/cell
magnetic moment	0.00	μB per formula unit
excess energy over the best structure of this formula in the dataset	0.000	eV/atom

Quantum ESPRESSO input file:
```
&SYSTEM
  ibrav = 0, nat = 10, ntyp = 3
/
ATOMIC_SPECIES
Sr 87.62 Sr.upf
Hg 200.59 Hg.upf
Ir 192.22 Ir.upf
CELL_PARAMETERS angstrom
7.258 0.000 0.000
0.000 7.258 0.000
0.000 0.000 4.662
ATOMIC_POSITIONS crystal
Sr 0.176 0.324 0.000
Sr 0.324 0.824 0.000
Sr 0.676 0.176 0.000
Sr 0.824 0.676 0.000
Hg 0.000 0.000 0.500
Hg 0.500 0.500 0.500
Ir 0.122 0.622 0.500
Ir 0.378 0.122 0.500
Ir 0.622 0.878 0.500
Ir 0.878 0.378 0.500
```


This record from the Alexandria database describes an optimized crystal structure of Y2ZnPdC. The functional is GGA-PBE. Values from VASP.

E_tot	-6.045	eV/atom
calculated formation energy	-321	meV/atom
V	98.62	Å³/cell
magnetic moment	0.00	μB per formula unit
excess energy over the best structure of this formula in the dataset	0.054	eV/atom

Quantum ESPRESSO input file:
```
&SYSTEM
  ibrav = 0, nat = 5, ntyp = 4
/
ATOMIC_SPECIES
Y 88.91 Y.upf
Zn 65.41 Zn.upf
Pd 106.42 Pd.upf
C 12.01 C.upf
CELL_PARAMETERS angstrom
4.935 0.000 0.000
0.000 4.935 0.000
0.000 0.000 4.050
ATOMIC_POSITIONS crystal
Y 0.000 0.500 0.000
Y 0.500 0.000 0.000
Zn 0.000 0.000 0.500
Pd 0.500 0.500 0.500
C 0.500 0.500 0.000
```


This record from the Alexandria database describes an optimized crystal structure of CdFe2Pd8. The functional is GGA-PBE. Values from VASP.

E_tot	-5.548	eV/atom
calculated formation energy	-150	meV/atom
V	168.32	Å³/cell
magnetic moment	8.24	μB per formula unit

Quantum ESPRESSO input file:
```
&SYSTEM
  ibrav = 0, nat = 11, ntyp = 3
/
ATOMIC_SPECIES
Cd 112.41 Cd.upf
Fe 55.84 Fe.upf
Pd 106.42 Pd.upf
CELL_PARAMETERS angstrom
7.034 -1.986 0.000
7.034 1.986 0.000
-1.763 0.000 6.024
ATOMIC_POSITIONS crystal
Cd 0.000 0.000 0.000
Fe 0.275 0.275 0.349
Fe 0.725 0.725 0.651
Pd 0.101 0.101 0.467
Pd 0.183 0.183 0.916
Pd 0.352 0.352 0.792
Pd 0.454 0.454 0.276
Pd 0.546 0.546 0.724
Pd 0.648 0.648 0.208
Pd 0.817 0.817 0.084
Pd 0.899 0.899 0.533
```


This record from the Alexandria database describes an optimized crystal structure of Cs2AlIr. The functional is GGA-PBE. Values from VASP.

E_tot	-3.287	eV/atom
calculated formation energy	291	meV/atom
V	386.83	Å³/cell
magnetic moment	0.00	μB per formula unit

Quantum ESPRESSO input file:
```
&SYSTEM
  ibrav = 0, nat = 8, ntyp = 3
/
ATOMIC_SPECIES
Cs 132.91 Cs.upf
Al 26.98 Al.upf
Ir 192.22 Ir.upf
CELL_PARAMETERS angstrom
-6.368 6.368 2.385
6.368 -6.368 2.385
6.368 6.368 -2.385
ATOMIC_POSITIONS crystal
Cs 0.375 0.045 0.170
Cs 0.795 0.625 0.670
Cs 0.875 0.205 0.830
Cs 0.955 0.125 0.330
Al 0.250 0.750 0.500
Al 0.500 0.500 0.000
Ir 0.000 0.000 0.000
Ir 0.750 0.250 0.500
```


This record from the Alexandria database describes an optimized crystal structure of DyEr2Te4. The functional is GGA-PBE. Values from VASP.

E_tot	-5.075	eV/atom
V	445.41	Å³/cell
magnetic moment	0.00	μB per formula unit
excess energy over the best structure of this formula in the dataset	0.046	eV/atom

Quantum ESPRESSO input file:
```
&SYSTEM
  ibrav = 0, nat = 14, ntyp = 3
/
ATOMIC_SPECIES
Dy 162.50 Dy.upf
Er 167.26 Er.upf
Te 127.60 Te.upf
CELL_PARAMETERS angstrom
2.110 -7.107 0.000
2.110 7.107 0.000
0.000 0.000 14.854
ATOMIC_POSITIONS crystal
Dy 0.128 0.872 0.750
Dy 0.872 0.128 0.250
Er 0.369 0.631 0.570
Er 0.369 0.631 0.930
Er 0.631 0.369 0.070
Er 0.631 0.369 0.430
Te 0.000 0.000 0.000
Te 0.000 0.000 0.500
Te 0.278 0.722 0.121
Te 0.278 0.722 0.379
Te 0.468 0.532 0.750
Te 0.532 0.468 0.250
Te 0.722 0.278 0.621
Te 0.722 0.278 0.879
```


This record from the Alexandria database describes an optimized crystal structure of Mg2FeP2Ru. The functional is GGA-PBE. Values from VASP.

E_tot	-5.839	eV/atom
calculated formation energy	-548	meV/atom
V	179.74	Å³/cell
magnetic moment	0.00	μB per formula unit

Quantum ESPRESSO input file:
```
&SYSTEM
  ibrav = 0, nat = 12, ntyp = 4
/
ATOMIC_SPECIES
Mg 24.30 Mg.upf
Fe 55.84 Fe.upf
P 30.97 P.upf
Ru 101.07 Ru.upf
CELL_PARAMETERS angstrom
-2.780 5.797 2.789
2.780 -5.797 2.789
2.780 5.797 -2.789
ATOMIC_POSITIONS crystal
Mg 0.168 0.244 0.412
Mg 0.332 0.744 0.076
Mg 0.668 0.256 0.924
Mg 0.832 0.756 0.588
Fe 0.250 0.250 0.000
Fe 0.750 0.750 0.000
P 0.107 0.767 0.873
P 0.393 0.267 0.660
P 0.607 0.733 0.340
P 0.893 0.233 0.127
Ru 0.250 0.750 0.500
Ru 0.750 0.250 0.500
```


This record from the Alexandria database describes an optimized crystal structure of GdHfMg2. The functional is GGA-PBE. Values from VASP.

E_tot	-6.680	eV/atom
calculated formation energy	126	meV/atom
V	96.45	Å³/cell
magnetic moment	7.50	μB per formula unit
excess energy over the best structure of this formula in the dataset	0.041	eV/atom

Quantum ESPRESSO input file:
```
&SYSTEM
  ibrav = 0, nat = 4, ntyp = 3
/
ATOMIC_SPECIES
Gd 157.25 Gd.upf
Hf 178.49 Hf.upf
Mg 24.30 Mg.upf
CELL_PARAMETERS angstrom
5.224 0.000 0.000
0.000 5.224 0.000
0.000 0.000 3.535
ATOMIC_POSITIONS crystal
Gd 0.000 0.000 0.000
Hf 0.500 0.500 0.000
Mg 0.000 0.500 0.500
Mg 0.500 0.000 0.500
```


This record from the Alexandria database describes an optimized crystal structure of RbYTiO4. The functional is GGA-PBE. Values from VASP.

E_tot	-7.936	eV/atom
V	264.39	Å³/cell
magnetic moment	0.00	μB per formula unit

Quantum ESPRESSO input file:
```
&SYSTEM
  ibrav = 0, nat = 14, ntyp = 4
/
ATOMIC_SPECIES
Rb 85.47 Rb.upf
Y 88.91 Y.upf
Ti 47.87 Ti.upf
O 16.00 O.upf
CELL_PARAMETERS angstrom
5.938 0.000 0.000
0.000 6.051 0.000
-2.502 0.000 7.357
ATOMIC_POSITIONS crystal
Rb 0.191 0.250 0.433
Rb 0.809 0.750 0.567
Y 0.312 0.250 0.959
Y 0.688 0.750 0.041
Ti 0.230 0.750 0.154
Ti 0.770 0.250 0.846
O 0.012 0.750 0.935
O 0.030 0.750 0.291
O 0.448 0.523 0.165
O 0.448 0.977 0.165
O 0.552 0.023 0.835
O 0.552 0.477 0.835
O 0.970 0.250 0.709
O 0.988 0.250 0.065
```


This record from the Alexandria database describes an optimized crystal structure of La2AgHg5. The functional is GGA-PBE. Values from VASP.

E_tot	-2.084	eV/atom
calculated formation energy	-307	meV/atom
V	429.86	Å³/cell
magnetic moment	0.00	μB per formula unit

Quantum ESPRESSO input file:
```
&SYSTEM
  ibrav = 0, nat = 16, ntyp = 3
/
ATOMIC_SPECIES
La 138.91 La.upf
Ag 107.87 Ag.upf
Hg 200.59 Hg.upf
CELL_PARAMETERS angstrom
2.160 -9.584 0.000
2.160 9.584 0.000
0.000 0.000 10.380
ATOMIC_POSITIONS crystal
La 0.000 0.000 0.000
La 0.000 0.000 0.500
La 0.189 0.811 0.750
La 0.811 0.189 0.250
Ag 0.453 0.547 0.250
Ag 0.547 0.453 0.750
Hg 0.206 0.794 0.103
Hg 0.206 0.794 0.397
Hg 0.370 0.630 0.028
Hg 0.370 0.630 0.472
Hg 0.403 0.597 0.750
Hg 0.597 0.403 0.250
Hg 0.630 0.370 0.528
Hg 0.630 0.370 0.972
Hg 0.794 0.206 0.603
Hg 0.794 0.206 0.897
```


This record from the Alexandria database describes an optimized crystal structure of Sr2Mg6Hg3. The functional is GGA-PBE. Values from VASP.

E_tot	-1.490	eV/atom
calculated formation energy	-233	meV/atom
V	302.69	Å³/cell
magnetic moment	0.00	μB per formula unit

Quantum ESPRESSO input file:
```
&SYSTEM
  ibrav = 0, nat = 11, ntyp = 3
/
ATOMIC_SPECIES
Sr 87.62 Sr.upf
Mg 24.30 Mg.upf
Hg 200.59 Hg.upf
CELL_PARAMETERS angstrom
8.681 0.000 0.000
-4.341 7.518 0.000
0.000 0.000 4.637
ATOMIC_POSITIONS crystal
Sr 0.333 0.667 0.000
Sr 0.667 0.333 0.000
Mg 0.000 0.201 0.000
Mg 0.000 0.724 0.500
Mg 0.201 0.000 0.000
Mg 0.276 0.276 0.500
Mg 0.724 0.000 0.500
Mg 0.799 0.799 0.000
Hg 0.000 0.397 0.500
Hg 0.397 0.000 0.500
Hg 0.603 0.603 0.500
```